1.
Compound: NaC2I
Source: Alexandria
Functional: PBE-GGA
Structure: optimized geometry

Results
- symmetry = I-42d, No. 122
- polymorph energy (0 for the lowest one) (meV per atom) = 0.0
- ΔE_f (raw) (eV per atom) = 2.10

Unit cell a=5.7709 b=5.7709 c=5.7709 alpha=117.23 beta=117.23 gamma=94.86
Last column: nearest neighbours and their distance in Å.
Atoms (fractional coordinates):
Na 0.0000 0.0000 0.0000  4 C 2.59
Na 0.7500 0.2500 0.5000  4 C 2.59
C 0.1854 0.1250 0.5604  2 I 2.12
C 0.3750 0.8146 0.9396  2 I 2.12
C 0.5646 0.6250 0.4396  2 I 2.12
C 0.8750 0.4354 0.0604  2 I 2.12
I 0.2500 0.7500 0.5000  4 C 2.12
I 0.5000 0.5000 0.0000  4 C 2.12

=====

2.
Compound: HfGeAsSe2
Source: Alexandria
Functional: PBE-GGA
Structure: optimized geometry

Results
- symmetry = P4/mmm, No. 123
- DOS at the Fermi energy (states/eV per atom) = 0.383
- polymorph energy (0 for the lowest one) (meV per atom) = 444.4
- ΔE_f (raw) (eV per atom) = 0.41

Unit cell a=4.8522 b=4.8522 c=4.8867 alpha=90.00 beta=90.00 gamma=90.00
Last column: nearest neighbours and their distance in Å.
Atoms (fractional coordinates):
Hf 0.0000 0.0000 0.0000  4 As 3.43, 8 Se 3.44
Ge 0.5000 0.5000 0.5000  4 Se 2.43, 2 As 2.44
As 0.5000 0.5000 0.0000  2 Ge 2.44
Se 0.0000 0.5000 0.5000  2 Ge 2.43
Se 0.5000 0.0000 0.5000  2 Ge 2.43

=====

3.
Compound: Li2GePdF
Source: Alexandria
Functional: PBE-GGA
Structure: optimized geometry

Results
- symmetry = P4/mmm, No. 123
- DOS at the Fermi energy (states/eV per atom) = 0.378
- ΔE_f (raw) (eV per atom) = -1.11

Unit cell a=3.6867 b=3.6867 c=5.3885 alpha=90.00 beta=90.00 gamma=90.00
Last column: nearest neighbours and their distance in Å.
Atoms (fractional coordinates):
Li 0.0000 0.5000 0.0000  2 F 1.84
Li 0.5000 0.0000 0.0000  2 F 1.84
Ge 0.0000 0.0000 0.5000  4 Pd 2.61, 2 F 2.69
Pd 0.5000 0.5000 0.5000  4 Ge 2.61
F 0.0000 0.0000 0.0000  4 Li 1.84

=====

4.
Compound: Ac2PmNd
Source: Alexandria
Functional: PBE-GGA
Structure: optimized geometry

Results
- symmetry = Cmmm, No. 65
- energy relative to the elements (eV/atom) = 0.031
- DOS at the Fermi energy (states/eV per atom) = 1.797
- polymorph energy (0 for the lowest one) (meV per atom) = 4.5

Unit cell a=6.5387 b=6.5387 c=3.8773 alpha=90.00 beta=90.00 gamma=107.23
Last column: nearest neighbours and their distance in Å.
Atoms (fractional coordinates):
Ac 0.0000 0.5000 0.0000  4 Nd 3.80, 4 Pm 3.80, 4 Ac 3.88
Ac 0.5000 0.0000 0.0000  4 Nd 3.80, 4 Pm 3.80, 4 Ac 3.88
Pm 0.0000 0.0000 0.5000  8 Ac 3.80, 2 Pm 3.88, 2 Nd 3.88
Nd 0.5000 0.5000 0.5000  8 Ac 3.80, 2 Nd 3.88, 2 Pm 3.88

=====

5.
Compound: LaDy5In6
Source: Alexandria
Functional: PBE-GGA
Structure: optimized geometry

Results
- symmetry = C2/m, No. 12
- energy relative to the elements (eV/atom) = -0.470
- DOS at the Fermi energy (states/eV per atom) = 0.513

Unit cell a=9.2835 b=9.2835 c=5.3788 alpha=106.29 beta=106.29 gamma=47.81
Last column: nearest neighbours and their distance in Å.
Atoms (fractional coordinates):
La 0.0000 0.0000 0.0000  8 In 3.35-3.37, 2 Dy 3.73
Dy 0.1615 0.1615 0.6614  8 In 3.26-3.32
Dy 0.3313 0.3313 0.3310  8 In 3.24-3.25
Dy 0.5000 0.5000 0.0000  8 In 3.21-3.31
Dy 0.6687 0.6687 0.6690  8 In 3.24-3.25
Dy 0.8385 0.8385 0.3386  8 In 3.26-3.32
In 0.0871 0.5712 0.8293  7 Dy 3.24-3.32, 1 La 3.37
In 0.2660 0.7340 0.5000  6 Dy 3.21-3.29, 2 La 3.35, 1 In 3.52
In 0.4288 0.9129 0.1707  7 Dy 3.24-3.32, 1 La 3.37
In 0.5712 0.0871 0.8293  7 Dy 3.24-3.32, 1 La 3.37
In 0.7340 0.2660 0.5000  6 Dy 3.21-3.29, 2 La 3.35, 1 In 3.52
In 0.9129 0.4288 0.1707  7 Dy 3.24-3.32, 1 La 3.37

=====

6.
Compound: PuZrZn
Source: Alexandria
Functional: PBE-GGA
Structure: optimized geometry

Results
- symmetry = P3m1, No. 156
- energy relative to the elements (eV/atom) = 0.077
- DOS at the Fermi energy (states/eV per atom) = 2.059
- polymorph energy (0 for the lowest one) (meV per atom) = 108.4

Unit cell a=4.9176 b=4.9176 c=3.0841 alpha=90.00 beta=90.00 gamma=120.00
Last column: nearest neighbours and their distance in Å.
Atoms (fractional coordinates):
Pu 0.0000 0.0000 0.0000  6 Zn 3.08-3.41, 2 Pu 3.08, 6 Zr 3.13-3.34
Zr 0.6667 0.3333 0.4285  3 Zn 2.89, 2 Zr 3.08, 3 Pu 3.13
Zn 0.3333 0.6667 0.6099  3 Zr 2.89, 3 Pu 3.08, 2 Zn 3.08

=====

7.
Compound: LaPr6Nd5
Source: Alexandria
Functional: PBE-GGA
Structure: optimized geometry

Results
- symmetry = Immm, No. 71
- energy relative to the elements (eV/atom) = 0.094
- DOS at the Fermi energy (states/eV per atom) = 1.946
- polymorph energy (0 for the lowest one) (meV per atom) = 81.6

Unit cell a=10.5627 b=10.5627 c=10.5627 alpha=146.40 beta=138.22 gamma=54.64
Last column: nearest neighbours and their distance in Å.
Atoms (fractional coordinates):
La 0.0000 0.0000 0.0000  8 Pr 3.59-3.81, 2 Nd 3.77
Pr 0.0731 0.8233 0.2498  7 Nd 3.60-3.81, 2 Pr 3.76-3.77, 1 La 3.81
Pr 0.2505 0.5000 0.7505  6 Nd 3.50-3.58, 2 La 3.59, 2 Pr 3.76-3.77
Pr 0.4264 0.1767 0.2498  7 Nd 3.60-3.81, 2 Pr 3.76-3.77, 1 La 3.81
Pr 0.5736 0.8233 0.7502  7 Nd 3.60-3.81, 2 Pr 3.76-3.77, 1 La 3.81
Pr 0.7495 0.5000 0.2495  6 Nd 3.50-3.58, 2 La 3.59, 2 Pr 3.76-3.77
Pr 0.9269 0.1767 0.7502  7 Nd 3.60-3.81, 2 Pr 3.76-3.77, 1 La 3.81
Nd 0.1584 0.6584 0.5000  8 Pr 3.52-3.62, 2 Nd 3.77
Nd 0.3426 0.3426 0.0000  8 Pr 3.50-3.64, 2 Nd 3.77
Nd 0.5000 0.0000 0.5000  8 Pr 3.58-3.81, 2 La 3.77
Nd 0.6574 0.6574 0.0000  8 Pr 3.50-3.64, 2 Nd 3.77
Nd 0.8416 0.3416 0.5000  8 Pr 3.52-3.62, 2 Nd 3.77

=====

8.
Compound: CrOsSe2
Source: Alexandria
Functional: PBE-GGA
Structure: optimized geometry

Results
- symmetry = I-4m2, No. 119
- DOS at the Fermi energy (states/eV per atom) = 1.133
- polymorph energy (0 for the lowest one) (meV per atom) = 724.1
- ΔE_f (raw) (eV per atom) = 0.65

Unit cell a=5.2896 b=5.2896 c=5.2896 alpha=138.47 beta=138.47 gamma=60.19
Last column: nearest neighbours and their distance in Å.
Atoms (fractional coordinates):
Cr 0.0000 0.0000 0.0000  8 Se 2.65-2.96, 4 Os 2.96
Os 0.2500 0.7500 0.5000  8 Se 2.65-2.96, 4 Cr 2.96
Se 0.5000 0.5000 0.0000  4 Cr 2.65, 4 Se 2.96, 4 Os 2.96
Se 0.7500 0.2500 0.5000  4 Os 2.65, 4 Cr 2.96, 4 Se 2.96